# CaVPd

A geometry-optimized CaVPd structure (PBE, Alexandria).

```
data_CaVPd
_chemical_formula_sum 'Ca4 V4 Pd4'
_space_group_name_H-M_alt 'P 1'
_space_group_IT_number 1
_space_group_name_Hall 'P 1'
_cell_length_a 5.650
_cell_length_b 5.946
_cell_length_c 7.718
_cell_angle_alpha 90.00
_cell_angle_beta 111.29
_cell_angle_gamma 90.00
loop_
_atom_site_label
_atom_site_fract_x
_atom_site_fract_y
_atom_site_fract_z
_atom_site_occupancy
V1 0.000 0.840 0.000 1
V2 0.000 0.340 0.500 1
V3 0.000 0.660 0.500 1
V4 0.000 0.160 0.000 1
Ca1 0.636 0.000 0.221 1
Ca2 0.364 0.000 0.779 1
Ca3 0.636 0.500 0.721 1
Ca4 0.364 0.500 0.279 1
Pd1 0.220 0.500 0.864 1
Pd2 0.780 0.000 0.636 1
Pd3 0.780 0.500 0.136 1
Pd4 0.220 0.000 0.364 1
```

formation energy: -0.006 eV per atom
V: 20.1 A^3/atom
total magnetization: 0.0 μB/cell

---

# Ca2VPd

A geometry-optimized Ca2VPd structure (PBE, Alexandria).

```
data_Ca2VPd
_chemical_formula_sum 'Ca4 V2 Pd2'
_space_group_name_H-M_alt 'P 1'
_space_group_IT_number 1
_space_group_name_Hall 'P 1'
_cell_length_a 8.163
_cell_length_b 8.163
_cell_length_c 6.561
_cell_angle_alpha 51.53
_cell_angle_beta 51.53
_cell_angle_gamma 90.00
loop_
_atom_site_label
_atom_site_fract_x
_atom_site_fract_y
_atom_site_fract_z
_atom_site_occupancy
Pd1 0.000 0.000 0.000 1
Pd2 0.750 0.250 0.500 1
Ca1 0.875 0.917 0.750 1
Ca2 0.083 0.625 0.250 1
Ca3 0.375 0.333 0.750 1
Ca4 0.667 0.125 0.250 1
V1 0.500 0.500 0.000 1
V2 0.250 0.750 0.500 1
```

formation energy: 0.357 eV per atom
V: 26.0 A^3/atom
total magnetization: 8.5 μB/cell

---

# CaVPd

A geometry-optimized CaVPd structure (PBE, Alexandria).

```
data_CaVPd
_chemical_formula_sum 'Ca2 V2 Pd2'
_space_group_name_H-M_alt 'P 1'
_space_group_IT_number 1
_space_group_name_Hall 'P 1'
_cell_length_a 5.020
_cell_length_b 3.566
_cell_length_c 9.950
_cell_angle_alpha 90.00
_cell_angle_beta 90.00
_cell_angle_gamma 134.74
loop_
_atom_site_label
_atom_site_fract_x
_atom_site_fract_y
_atom_site_fract_z
_atom_site_occupancy
Pd1 0.694 0.389 0.000 1
Pd2 0.194 0.389 0.500 1
Ca1 0.194 0.389 0.173 1
Ca2 0.194 0.389 0.827 1
V1 0.694 0.389 0.404 1
V2 0.694 0.389 0.596 1
```

formation energy: -0.017 eV per atom
V: 21.1 A^3/atom
total magnetization: 0.0 μB/cell

---

# Ca3VPd12

A geometry-optimized Ca3VPd12 structure (PBE, Alexandria).

```
data_Ca3VPd12
_chemical_formula_sum 'Ca3 V1 Pd12'
_space_group_name_H-M_alt 'P 1'
_space_group_IT_number 1
_space_group_name_Hall 'P 1'
_cell_length_a 4.053
_cell_length_b 4.053
_cell_length_c 16.392
_cell_angle_alpha 90.00
_cell_angle_beta 90.00
_cell_angle_gamma 90.00
loop_
_atom_site_label
_atom_site_fract_x
_atom_site_fract_y
_atom_site_fract_z
_atom_site_occupancy
Pd1 0.500 0.000 0.891 1
Pd2 0.000 0.500 0.370 1
Pd3 0.500 0.000 0.370 1
Pd4 0.500 0.500 0.000 1
Pd5 0.500 0.500 0.760 1
Pd6 0.000 0.500 0.630 1
Pd7 0.000 0.500 0.891 1
Pd8 0.000 0.500 0.109 1
Pd9 0.500 0.500 0.500 1
Pd10 0.500 0.500 0.240 1
Pd11 0.500 0.000 0.630 1
Pd12 0.500 0.000 0.109 1
Ca1 0.000 0.000 0.500 1
Ca2 0.000 0.000 0.243 1
Ca3 0.000 0.000 0.757 1
V1 0.000 0.000 0.000 1
```

formation energy: -0.439 eV per atom
V: 16.8 A^3/atom
total magnetization: 0.0 μB/cell

---

# CaV3Pd

A geometry-optimized CaV3Pd structure (PBE, Alexandria).

```
data_CaV3Pd
_chemical_formula_sum 'Ca1 V3 Pd1'
_space_group_name_H-M_alt 'P 1'
_space_group_IT_number 1
_space_group_name_Hall 'P 1'
_cell_length_a 4.865
_cell_length_b 4.865
_cell_length_c 4.865
_cell_angle_alpha 90.00
_cell_angle_beta 90.00
_cell_angle_gamma 90.00
loop_
_atom_site_label
_atom_site_fract_x
_atom_site_fract_y
_atom_site_fract_z
_atom_site_occupancy
Pd1 0.000 0.000 0.000 1
V1 0.000 0.000 0.500 1
V2 0.500 0.000 0.000 1
V3 0.000 0.500 0.000 1
Ca1 0.500 0.500 0.500 1
```

formation energy: 0.981 eV per atom
V: 23.0 A^3/atom
total magnetization: 7.5 μB/cell

---

# CaVPd

A geometry-optimized CaVPd structure (PBE, Alexandria).

```
data_CaVPd
_chemical_formula_sum 'Ca4 V4 Pd4'
_space_group_name_H-M_alt 'P 1'
_space_group_IT_number 1
_space_group_name_Hall 'P 1'
_cell_length_a 9.287
_cell_length_b 4.375
_cell_length_c 7.132
_cell_angle_alpha 90.00
_cell_angle_beta 102.63
_cell_angle_gamma 90.00
loop_
_atom_site_label
_atom_site_fract_x
_atom_site_fract_y
_atom_site_fract_z
_atom_site_occupancy
Ca1 0.172 0.000 0.223 1
Ca2 0.172 0.500 0.723 1
Ca3 0.828 0.000 0.777 1
Ca4 0.828 0.500 0.277 1
Pd1 0.351 0.500 0.436 1
Pd2 0.649 0.000 0.064 1
Pd3 0.351 0.000 0.936 1
Pd4 0.649 0.500 0.564 1
V1 0.546 0.500 0.886 1
V2 0.546 0.000 0.386 1
V3 0.454 0.000 0.614 1
V4 0.454 0.500 0.114 1
```

formation energy: -0.024 eV per atom
V: 23.6 A^3/atom
total magnetization: 0.0 μB/cell